{
  "formula": "DyNi5As2",
  "functional": "GGA-PBE",
  "state": "optimized geometry",
  "lattice": [[-2.843, 2.430, 0.389], [-4.888, -2.436, -2.329], [-3.677, -2.062, 4.182]],
  "species": ["Ni", "Ni", "Ni", "Ni", "Ni", "As", "As", "Dy"],
  "fractional_positions": [[0.358, 0.829, 0.455], [0.642, 0.545, 0.171], [0.358, 0.455, 0.829], [0.642, 0.171, 0.545], [0.000, 0.500, 0.500], [0.750, 0.750, 0.750], [0.250, 0.250, 0.250], [0.000, 0.000, 0.000]],
  "e_tot_ev_per_atom": -5.849,
  "magmom_total_mub_per_atom": 0.000,
  "formation_energy_ev_per_atom": -0.4978
}